VASP calculation (GGA-PBE) on a geometry-optimized AsIrN3 structure.

Properties
DFT total energy, eV/atom: -6.128
Formation energy from raw total energies, eV/atom: 1.569
Crystal system: cubic
DOS at the Fermi energy, states/eV per cell: 5.9
Calculated volume, A^3/atom: 11.7

The structure in POSCAR format:
```
AsIrN3
1.0
-2.247 2.391 2.074
-2.543 -2.878 0.563
1.884 -1.033 3.233
N As Ir
3 1 1
Direct
0.000 0.500 0.000 N
0.000 0.000 0.500 N
0.500 0.000 0.000 N
0.500 0.500 0.500 As
0.000 0.000 0.000 Ir
```